Run A
Density functional theory data (PBE) for a geometry-optimized NaCuSe2Br structure.

Results
**Magnetic moment**: 0.120 μB/atom
**N(E_F)**: 5.9 states/eV/cell
**Symmetry**: P4/mmm

Cell: 4.6098 4.6098 6.6341 Å, 90.00 90.00 90.00°
Last column: nearest neighbours and their distance in Å.
Element x y z (fractional)
Na 0.0000 0.0000 0.0000  4 Br 3.26
Cu 0.5000 0.5000 0.5000  4 Se 2.30
Se 0.0000 0.5000 0.5000  2 Cu 2.30
Se 0.5000 0.0000 0.5000  2 Cu 2.30
Br 0.5000 0.5000 0.0000  4 Na 3.26, 2 Cu 3.32


Run B
Density functional theory data (PBE) for a geometry-optimized NaCuSe2Br structure.

Results
**Magnetic moment**: 0.051 μB/atom
**N(E_F)**: 2.5 states/eV/cell
**Symmetry**: P4/mmm

Cell: 5.5626 5.5626 4.5353 Å, 90.00 90.00 90.00°
Last column: nearest neighbours and their distance in Å.
Element x y z (fractional)
Na 0.0000 0.0000 0.0000  8 Se 3.59, 4 Cu 3.93
Cu 0.5000 0.5000 0.0000  2 Br 2.27
Se 0.0000 0.5000 0.5000  2 Br 2.78
Se 0.5000 0.0000 0.5000  2 Br 2.78
Br 0.5000 0.5000 0.5000  2 Cu 2.27


Stability verdict: run A, ahead by 50.9 kJ/mol of atoms